Computed, not measured: a relaxed structure of LiYZrRe at the GGA-PBE level of DFT.

**Crystal system**: cubic
**VASP energy**: -7.352 eV/atom
**Magnetic moment**: 0.00 μB per cell
**E_form**: -0.009 eV per atom

Lattice parameters (Å, degrees): 4.8036 4.8036 4.8036 60.00 60.00 60.00
Fractional positions:
Y 0.5000 0.5000 0.5000
Re 0.7500 0.7500 0.7500
Zr 0.0000 0.0000 0.0000
Li 0.2500 0.2500 0.2500

Computed, not measured: a relaxed structure of Ba2Li2Pb3 at the GGA-PBE level of DFT.

**Crystal system**: orthorhombic
**VASP energy**: -3.124 eV/atom
**Magnetic moment**: 0.00 μB per cell
**E_form**: -0.439 eV per atom
**Energy above the most stable polymorph in this dataset**: 0 meV/atom

Lattice parameters (Å, degrees): 11.3701 11.3701 8.0841 90.00 90.00 153.68
Fractional positions:
Ba 0.8375 0.1625 0.7500
Ba 0.1625 0.8375 0.2500
Ba 0.0532 0.9468 0.7500
Ba 0.9468 0.0532 0.2500
Li 0.3086 0.6914 0.0663
Li 0.6914 0.3086 0.9337
Li 0.6914 0.3086 0.5663
Li 0.3086 0.6914 0.4337
Pb 0.7796 0.2204 0.2500
Pb 0.2204 0.7796 0.7500
Pb 0.4352 0.5648 0.5631
Pb 0.5648 0.4352 0.4369
Pb 0.5648 0.4352 0.0631
Pb 0.4352 0.5648 0.9369

Computed, not measured: a relaxed structure of ZnCuRu2 at the GGA-PBE level of DFT.

**Crystal system**: trigonal
**VASP energy**: -5.804 eV/atom
**Magnetic moment**: 0.00 μB per cell
**E_form**: 0.176 eV per atom

Lattice parameters (Å, degrees): 8.7868 8.7868 8.7868 17.65 17.65 17.65
Fractional positions:
Cu 0.7500 0.7500 0.7500
Ru 0.0009 0.0009 0.0009
Ru 0.4991 0.4991 0.4991
Zn 0.2500 0.2500 0.2500